Record 1
# LaPdPt2, optimized geometry, DFT GGA-PBE
data_LaPdPt2
_cell_length_a 5.474
_cell_length_b 5.474
_cell_length_c 9.608
_cell_angle_alpha 73.45
_cell_angle_beta 73.45
_cell_angle_gamma 60.00
_symmetry_space_group_name_H-M 'P 1'
_symmetry_Int_Tables_number 1
_symmetry_space_group_name_Hall 'P 1'
loop_
_atom_site_label
_atom_site_fract_x
_atom_site_fract_y
_atom_site_fract_z
_atom_site_occupancy
Pt1 0.414 0.414 0.253 1
Pt2 0.414 0.918 0.253 1
Pt3 0.586 0.586 0.747 1
Pt4 0.586 0.082 0.747 1
Pt5 0.918 0.414 0.253 1
Pt6 0.082 0.586 0.747 1
Pd1 0.667 0.667 0.999 1
Pd2 0.500 0.500 0.500 1
Pd3 0.333 0.333 0.001 1
La1 0.138 0.138 0.585 1
La2 0.862 0.862 0.415 1
La3 0.000 0.000 0.000 1
# Calculated density: 13.4 g/cm³
# DOS(E_F): 0.81 states/eV/atom
# Formation enthalpy at 0 K: -0.92 eV/atom



Record 2
# LaPuSc2, optimized geometry, DFT GGA-PBE
data_LaPuSc2
_cell_length_a 4.835
_cell_length_b 4.767
_cell_length_c 4.767
_cell_angle_alpha 90.00
_cell_angle_beta 90.00
_cell_angle_gamma 90.00
_symmetry_space_group_name_H-M 'P 1'
_symmetry_Int_Tables_number 1
_symmetry_space_group_name_Hall 'P 1'
loop_
_atom_site_label
_atom_site_fract_x
_atom_site_fract_y
_atom_site_fract_z
_atom_site_occupancy
La1 0.500 0.500 0.500 1
Sc1 0.000 0.000 0.500 1
Sc2 0.000 0.500 0.000 1
Pu1 0.500 0.000 0.000 1
# Calculated density: 7.1 g/cm³
# DOS(E_F): 3.55 states/eV/atom
# Energy above the lowest structure with this stoichiometry: 37 meV per atom
# Formation enthalpy at 0 K: 0.16 eV/atom



Record 3
# Hg2Pd7Au2, optimized geometry, DFT GGA-PBE
data_Hg2Pd7Au2
_cell_length_a 5.498
_cell_length_b 7.328
_cell_length_c 5.498
_cell_angle_alpha 90.00
_cell_angle_beta 92.13
_cell_angle_gamma 90.00
_symmetry_space_group_name_H-M 'P 1'
_symmetry_Int_Tables_number 1
_symmetry_space_group_name_Hall 'P 1'
loop_
_atom_site_label
_atom_site_fract_x
_atom_site_fract_y
_atom_site_fract_z
_atom_site_occupancy
Hg1 0.820 0.500 0.820 1
Hg2 0.180 0.500 0.180 1
Pd1 0.500 0.243 0.000 1
Pd2 0.000 0.000 0.000 1
Pd3 0.500 0.678 0.500 1
Pd4 0.000 0.757 0.500 1
Pd5 0.500 0.757 0.000 1
Pd6 0.000 0.243 0.500 1
Pd7 0.500 0.322 0.500 1
Au1 0.669 0.000 0.331 1
Au2 0.331 0.000 0.669 1
# Calculated density: 11.6 g/cm³
# DOS(E_F): 1.08 states/eV/atom
# Energy above the lowest structure with this stoichiometry: 329 meV per atom
# Formation enthalpy at 0 K: 0.31 eV/atom



Record 4
# MoC2IN, optimized geometry, DFT GGA-PBE
data_MoC2IN
_cell_length_a 3.968
_cell_length_b 5.301
_cell_length_c 3.968
_cell_angle_alpha 90.00
_cell_angle_beta 90.00
_cell_angle_gamma 90.00
_symmetry_space_group_name_H-M 'P 1'
_symmetry_Int_Tables_number 1
_symmetry_space_group_name_Hall 'P 1'
loop_
_atom_site_label
_atom_site_fract_x
_atom_site_fract_y
_atom_site_fract_z
_atom_site_occupancy
I1 0.000 0.000 0.000 1
Mo1 0.000 0.500 0.000 1
C1 0.000 0.000 0.500 1
C2 0.500 0.000 0.000 1
N1 0.500 0.500 0.500 1
# Calculated density: 5.2 g/cm³
# Formation energy from raw total energies: 377.4 kJ/mol of atoms
# DOS(E_F): 1.12 states/eV/atom
# Energy above the lowest structure with this stoichiometry: 1275 meV per atom